one) VASP calculation (PBE-GGA) on a relaxed Ac2DyGe2 crystal.

Output
SG: Cmc2_1 (36)

abc: 9.020 9.020 8.270
angles: 90.00 90.00 150.08
Element x y z (fractional)
Ac 0.044 0.956 0.500
Ac 0.206 0.794 0.850
Ac 0.794 0.206 0.350
Ac 0.956 0.044 0.000
Dy 0.407 0.593 0.644
Dy 0.593 0.407 0.144
Ge 0.176 0.824 0.237
Ge 0.438 0.562 0.296
Ge 0.562 0.438 0.796
Ge 0.824 0.176 0.737



two) VASP calculation (PBE-GGA) on a relaxed Ac2DyGe2 crystal.

Output
SG: P4/mbm (127)

abc: 7.961 7.961 4.744
angles: 90.00 90.00 90.00
Element x y z (fractional)
Ac 0.176 0.324 0.000
Ac 0.324 0.824 0.000
Ac 0.676 0.176 0.000
Ac 0.824 0.676 0.000
Dy 0.000 0.000 0.500
Dy 0.500 0.500 0.500
Ge 0.121 0.621 0.500
Ge 0.379 0.121 0.500
Ge 0.621 0.879 0.500
Ge 0.879 0.379 0.500



Of them, one) has the lowest stability.